The following is a PBE calculation of KNpCdTe3 after structural relaxation, from Alexandria via LeMat-Bulk.

a = 9.5012 Å, b = 4.5693 Å, c = 10.8352 Å
α = 90.00°, β = 107.12°, γ = 90.00°
With the nearest neighbours (Å) after each atom.
Space group P2_1/m (No. 11)
Unique sites:
K: 0.2153 0.2500 0.2399 x2  7 Te 3.55-3.93
Np: 0.3231 0.7500 0.8585 x2  6 Te 3.11-3.31
Cd: 0.0855 0.2500 0.6085 x2  4 Te 2.81-2.98
Te: 0.0969 0.2500 0.8710 x2  1 Cd 2.81
Te: 0.2336 0.7500 0.5394 x2  3 Cd 2.89-2.98
Te: 0.4593 0.7500 0.1571 x2  3 Np 3.11-3.12

* formation energy without anion corrections: -712 meV/atom
* final energy: -0.175 Ha/atom
* total moment: 0.667 μB/atom